A plane-wave DFT calculation with PBE was carried out for CaTbInAu after structural relaxation.

Unit cell a=3.685 b=3.685 c=7.670 alpha=90.00 beta=90.00 gamma=90.00
Space group P4mm (No. 99)
Unique sites:
Ca 0.000 0.000 0.000 x1
Tb 0.000 0.000 0.539 x1
In 0.500 0.500 0.276 x1
Au 0.500 0.500 0.746 x1

Calculated values
Formation energy: -653 meV/atom



A plane-wave DFT calculation with PBE was carried out for CaIn2TeAu after structural relaxation.

Unit cell a=6.217 b=6.217 c=5.539 alpha=90.00 beta=90.00 gamma=90.00
Space group P4/mmm (No. 123)
Unique sites:
Ca 0.000 0.000 0.000 x1
In 0.000 0.500 0.000 x2
Te 0.000 0.000 0.500 x1
Au 0.500 0.500 0.500 x1

Calculated values
Raw formation energy: 2.12 eV per formula unit



no.,V (A^3/atom)
1,26.0
2,42.8